# LiC, relaxed, DFT PBE-GGA
# Formation energy: 17.1 kJ per mole of atoms
data_LiC
_space_group_name_H-M_alt 'P 63/m'
_space_group_IT_number 176
_space_group_name_Hall '-P 6c'
_cell_length_a 7.9909
_cell_length_b 7.9909
_cell_length_c 2.5686
_cell_angle_alpha 90.00
_cell_angle_beta 90.00
_cell_angle_gamma 120.00
loop_
_atom_site_label
_atom_site_type_symbol
_atom_site_fract_x
_atom_site_fract_y
_atom_site_fract_z
Li1 Li 0.1591 0.3797 0.2500
C1 C 0.0072 0.4661 0.7500